[1]
Compound: VCoMo2
Source: Alexandria
Functional: PBE
Structure: optimized geometry

a b c (Å): 3.7058 3.7058 4.0945
angles (deg): 90.00 90.00 90.00
Atoms (fractional coordinates):
V (0.0000, 0.0000, 0.0000)
Co (0.5000, 0.5000, 0.0000)
Mo (0.0000, 0.5000, 0.5000)
Mo (0.5000, 0.0000, 0.5000)

Results
ΔH_f (0 K)   146 meV/atom
Uncorrected energy   -9.33 eV/atom
Offset from the most stable computed form   0.30 eV/f.u.
Space-group type   P4/mmm (123)

[2]
Compound: LiCoNi
Source: Alexandria
Functional: PBE
Structure: optimized geometry

a b c (Å): 4.3395 4.3395 4.3395
angles (deg): 147.28 129.81 61.21
Atoms (fractional coordinates):
Li (0.0000, 0.0000, 0.0000)
Co (0.3235, 0.3235, 0.0000)
Ni (0.6737, 0.6737, 0.0000)

Results
ΔH_f (0 K)   114 meV/atom
Uncorrected energy   -4.82 eV/atom
Offset from the most stable computed form   0.26 eV/f.u.
Space-group type   Imm2 (44)

[3]
Compound: BaNa5Br7
Source: Alexandria
Functional: PBE
Structure: optimized geometry

a b c (Å): 7.3872 7.3872 25.2267
angles (deg): 90.02 90.02 34.53
Atoms (fractional coordinates):
Ba (0.2039, 0.2039, 0.2500)
Ba (0.7961, 0.7961, 0.7500)
Na (0.0000, 0.0000, 0.0000)
Na (0.0000, 0.0000, 0.5000)
Na (0.2758, 0.2758, 0.5707)
Na (0.2761, 0.2761, 0.9292)
Na (0.4600, 0.4600, 0.1413)
Na (0.4601, 0.4601, 0.3590)
Na (0.5399, 0.5399, 0.6410)
Na (0.5400, 0.5400, 0.8587)
Na (0.7239, 0.7239, 0.0708)
Na (0.7242, 0.7242, 0.4293)
Br (0.0934, 0.0934, 0.3896)
Br (0.0937, 0.0937, 0.1106)
Br (0.1834, 0.1834, 0.8258)
Br (0.1836, 0.1836, 0.6740)
Br (0.3651, 0.3651, 0.0353)
Br (0.3648, 0.3648, 0.4647)
Br (0.4630, 0.4630, 0.7499)
Br (0.5370, 0.5370, 0.2501)
Br (0.6352, 0.6352, 0.5353)
Br (0.6349, 0.6349, 0.9647)
Br (0.8164, 0.8164, 0.3260)
Br (0.8166, 0.8166, 0.1742)
Br (0.9063, 0.9063, 0.8894)
Br (0.9066, 0.9066, 0.6104)

Results
Uncorrected energy   -3.25 eV/atom
Space-group type   C2/m (12)

[4]
Compound: AcLaSm4
Source: Alexandria
Functional: PBE
Structure: optimized geometry

a b c (Å): 3.7302 6.4090 9.7887
angles (deg): 77.19 79.09 73.38
Atoms (fractional coordinates):
Ac (0.0000, 0.0000, 0.0000)
La (0.0000, 0.5000, 0.5000)
Sm (0.3311, 0.0001, 0.3381)
Sm (0.3320, 0.5067, 0.8305)
Sm (0.6680, 0.4933, 0.1695)
Sm (0.6689, 0.9999, 0.6619)

Results
ΔH_f (0 K)   32 meV/atom
Uncorrected energy   -4.62 eV/atom
Offset from the most stable computed form   0.00 eV/f.u.
Space-group type   P-1 (2)

[5]
Compound: AlHg4Os
Source: Alexandria
Functional: PBE
Structure: optimized geometry

a b c (Å): 5.6431 5.6431 5.6431
angles (deg): 60.00 60.00 60.00
Atoms (fractional coordinates):
Al (0.0000, 0.0000, 0.0000)
Hg (0.1261, 0.6246, 0.6246)
Hg (0.6246, 0.1261, 0.6246)
Hg (0.6246, 0.6246, 0.1261)
Hg (0.6246, 0.6246, 0.6246)
Os (0.2500, 0.2500, 0.2500)

Results
ΔH_f (0 K)   1016 meV/atom
Uncorrected energy   -1.68 eV/atom
Space-group type   F-43m (216)

[6]
Compound: CeMgTlGa
Source: Alexandria
Functional: PBE
Structure: optimized geometry

a b c (Å): 5.1332 5.1332 5.1332
angles (deg): 60.00 60.00 60.00
Atoms (fractional coordinates):
Ce (0.0000, 0.0000, 0.0000)
Mg (0.5000, 0.5000, 0.5000)
Tl (0.2500, 0.2500, 0.2500)
Ga (0.7500, 0.7500, 0.7500)

Results
ΔH_f (0 K)   -287 meV/atom
Uncorrected energy   -3.52 eV/atom
Space-group type   F-43m (216)

[7]
Compound: MnS2N2
Source: Alexandria
Functional: PBE
Structure: optimized geometry

a b c (Å): 3.3783 3.3783 10.9947
angles (deg): 91.87 91.87 59.95
Atoms (fractional coordinates):
Mn (0.0000, 0.0000, 0.0000)
S (0.3247, 0.3247, 0.8812)
S (0.6753, 0.6753, 0.1188)
N (0.0045, 0.0045, 0.5507)
N (0.9955, 0.9955, 0.4493)

Results
Uncorrected energy   -7.13 eV/atom
Offset from the most stable computed form   0.00 eV/f.u.
Space-group type   C2/m (12)

[8]
Compound: CeTmRh2
Source: Alexandria
Functional: PBE
Structure: optimized geometry

a b c (Å): 4.8660 4.8660 3.4242
angles (deg): 90.00 90.00 90.00
Atoms (fractional coordinates):
Ce (0.0000, 0.0000, 0.0000)
Tm (0.5000, 0.5000, 0.0000)
Rh (0.0000, 0.5000, 0.5000)
Rh (0.5000, 0.0000, 0.5000)

Results
ΔH_f (0 K)   -809 meV/atom
Uncorrected energy   -7.09 eV/atom
Space-group type   P4/mmm (123)

One value per record, in order, for DOS(E_F): 1.48 0.87 0.00 1.59 0.92 1.12 0.12 1.12 states/eV/atom.